(1)
## Sm2TlSn3Te6 (PBE)

Data for an optimized crystal structure of Sm2TlSn3Te6.

Geometry as POSCAR:
```
Sm2TlSn3Te6
1.0
9.9488 -2.2373 0.0000
9.9488 2.2373 0.0000
-2.2908 0.0000 9.0418
Sm Tl Sn Te
2 1 3 6
direct
0.1695 0.1695 0.3474
0.8305 0.8305 0.6526
0.5000 0.5000 0.0000
0.1579 0.1579 0.8477
0.5000 0.5000 0.5000
0.8421 0.8421 0.1523
0.0072 0.0072 0.2680
0.3223 0.3223 0.8955
0.3328 0.3328 0.4087
0.6672 0.6672 0.5913
0.6777 0.6777 0.1045
0.9928 0.9928 0.7320
```

Calculated values
**SG**: C2/m
**Total magnetization**: 0.000 μB per cell
**E_form (uncorrected)**: -0.6598 eV per atom
**ρ**: 6.711 Mg/m³
**N(E_F)**: 4.11 states/eV/f.u.

(2)
## Ba2PuO3 (PBE)

Data for an optimized crystal structure of Ba2PuO3.

Geometry as POSCAR:
```
Ba2PuO3
1.0
6.3848 -3.6898 0.0000
6.3848 3.6898 0.0000
0.0000 0.0000 6.0814
Ba Pu O
4 2 6
direct
0.0131 0.6655 0.5000
0.3345 0.9869 0.5000
0.6655 0.0131 0.0000
0.9869 0.3345 0.0000
0.3368 0.6632 0.9978
0.6632 0.3368 0.4978
0.0318 0.6668 0.0352
0.3332 0.9682 0.0352
0.3765 0.6235 0.6401
0.6235 0.3765 0.1401
0.6668 0.0318 0.5352
0.9682 0.3332 0.5352
```

Calculated values
**SG**: Cmc2_1
**Total magnetization**: 11.610 μB per cell
**E_form (uncorrected)**: -2.4736 eV per atom
**ρ**: 6.568 Mg/m³
**N(E_F)**: 9.39 states/eV/f.u.

(3)
## Ba3SrSn2O9 (PBE)

Data for an optimized crystal structure of Ba3SrSn2O9.

Geometry as POSCAR:
```
Ba3SrSn2O9
1.0
6.0686 0.0000 0.0000
-3.0343 5.2556 0.0000
0.0000 0.0000 7.8524
Ba Sr Sn O
3 1 2 9
direct
0.0000 0.0000 0.0000
0.3333 0.6667 0.6883
0.6667 0.3333 0.3117
0.0000 0.0000 0.5000
0.3333 0.6667 0.1535
0.6667 0.3333 0.8465
0.0000 0.5000 0.0000
0.1752 0.3503 0.3053
0.1752 0.8248 0.3053
0.3503 0.1752 0.6947
0.5000 0.0000 0.0000
0.5000 0.5000 0.0000
0.6497 0.8248 0.3053
0.8248 0.1752 0.6947
0.8248 0.6497 0.6947
```

Calculated values
**SG**: P-3m1
**Total magnetization**: 2.081 μB per cell
**E_form (uncorrected)**: -2.0683 eV per atom
**ρ**: 5.842 Mg/m³
**N(E_F)**: 9.06 states/eV/f.u.

(4)
## Sn2SbTe (PBE)

Data for an optimized crystal structure of Sn2SbTe.

Geometry as POSCAR:
```
Sn2SbTe
1.0
-3.8819 3.8819 4.8703
3.8819 -3.8819 4.8703
3.8819 3.8819 -4.8703
Sn Sb Te
4 2 2
direct
0.1153 0.6250 0.9903
0.3750 0.3653 0.4903
0.6347 0.1250 0.0097
0.8750 0.8847 0.5097
0.0000 0.0000 0.0000
0.7500 0.2500 0.5000
0.2500 0.7500 0.5000
0.5000 0.5000 0.0000
```

Calculated values
**SG**: I-42d
**Total magnetization**: 0.000 μB per cell
**E_form (uncorrected)**: 0.0828 eV per atom
**ρ**: 5.507 Mg/m³
**Polymorph energy (0 for the lowest one)**: 195 meV per atom
**N(E_F)**: 2.01 states/eV/f.u.

(5)
## NbCrGa2 (PBE)

Data for an optimized crystal structure of NbCrGa2.

Geometry as POSCAR:
```
NbCrGa2
1.0
-3.5136 3.5136 2.6898
3.5136 -3.5136 2.6898
3.5136 3.5136 -2.6898
Nb Cr Ga
2 2 4
direct
0.0000 0.0000 0.0000
0.7500 0.2500 0.5000
0.2500 0.7500 0.5000
0.5000 0.5000 0.0000
0.1433 0.6250 0.0183
0.3750 0.3933 0.5183
0.6067 0.1250 0.9817
0.8750 0.8567 0.4817
```

Calculated values
**Formation enthalpy at 0 K**: 0.22 eV/atom
**SG**: I-42d
**Total magnetization**: 3.912 μB per cell
**ρ**: 7.110 Mg/m³
**Polymorph energy (0 for the lowest one)**: 320 meV per atom
**N(E_F)**: 3.18 states/eV/f.u.

(6)
## Ni15MoPt6 (PBE)

Data for an optimized crystal structure of Ni15MoPt6.

Geometry as POSCAR:
```
Ni15MoPt6
1.0
4.5741 0.0000 0.0000
0.1630 7.6967 0.0000
0.7987 3.8252 8.1154
Ni Mo Pt
15 1 6
direct
0.0000 0.0000 0.0000
0.0050 0.6714 0.0031
0.2163 0.9600 0.7543
0.2221 0.9764 0.2539
0.4214 0.2488 0.4925
0.4313 0.9240 0.5063
0.4929 0.4978 0.0105
0.5069 0.1693 0.9982
0.7073 0.7972 0.7618
0.7152 0.1185 0.7512
0.7213 0.0100 0.2530
0.7387 0.4247 0.2526
0.9098 0.7505 0.5036
0.9174 0.4163 0.5003
0.9649 0.7063 0.2510
0.7123 0.4598 0.7550
0.2144 0.6368 0.7488
0.2194 0.2895 0.7436
0.4383 0.6209 0.4261
0.4958 0.8026 0.0676
0.9319 0.0987 0.4730
0.9911 0.3172 0.0416
```

Calculated values
**Formation enthalpy at 0 K**: 0.04 eV/atom
**SG**: P1
**Total magnetization**: 9.297 μB per cell
**ρ**: 12.478 Mg/m³
**N(E_F)**: 36.86 states/eV/f.u.

(7)
## Mn5V4Mo (PBE)

Data for an optimized crystal structure of Mn5V4Mo.

Geometry as POSCAR:
```
Mn5V4Mo
1.0
2.8894 0.0000 0.0000
0.0000 2.8894 0.0000
0.0000 0.0000 14.5767
Mn V Mo
5 4 1
direct
0.0000 0.0000 0.0000
0.0000 0.0000 0.1968
0.0000 0.0000 0.3912
0.0000 0.0000 0.6088
0.0000 0.0000 0.8032
0.5000 0.5000 0.0981
0.5000 0.5000 0.2946
0.5000 0.5000 0.7054
0.5000 0.5000 0.9019
0.5000 0.5000 0.5000
```

Calculated values
**Formation enthalpy at 0 K**: -0.20 eV/atom
**SG**: P4/mmm
**Total magnetization**: 0.000 μB per cell
**ρ**: 7.837 Mg/m³
**N(E_F)**: 4.74 states/eV/f.u.

(8)
## Sr4InFe (PBE)

Data for an optimized crystal structure of Sr4InFe.

Geometry as POSCAR:
```
Sr4InFe
1.0
0.0000 4.9512 4.9512
4.9512 0.0000 4.9512
4.9512 4.9512 0.0000
Sr In Fe
4 1 1
direct
0.1247 0.1247 0.1247
0.1247 0.1247 0.6260
0.1247 0.6260 0.1247
0.6260 0.1247 0.1247
0.5000 0.5000 0.5000
0.7500 0.7500 0.7500
```

Calculated values
**Formation enthalpy at 0 K**: 0.80 eV/atom
**SG**: F-43m
**Total magnetization**: 2.623 μB per cell
**ρ**: 3.565 Mg/m³
**N(E_F)**: 8.19 states/eV/f.u.

(9)
## POsPb (PBE)

Data for an optimized crystal structure of POsPb.

Geometry as POSCAR:
```
POsPb
1.0
3.6967 0.0000 0.0000
-1.8484 3.2015 0.0000
0.0000 0.0000 5.5704
P Os Pb
1 1 1
direct
0.0000 0.0000 0.0000
0.3333 0.6667 0.8737
0.6667 0.3333 0.4702
```

Calculated values
**Formation enthalpy at 0 K**: 0.23 eV/atom
**SG**: P3m1
**Total magnetization**: 0.000 μB per cell
**ρ**: 10.791 Mg/m³
**N(E_F)**: 1.62 states/eV/f.u.

(10)
## AgPd4Pb2 (PBE)

Data for an optimized crystal structure of AgPd4Pb2.

Geometry as POSCAR:
```
AgPd4Pb2
1.0
-1.9891 1.9891 9.2723
1.9891 -1.9891 9.2723
1.9891 1.9891 -9.2723
Ag Pd Pb
1 4 2
direct
0.0000 0.0000 0.0000
0.1448 0.1448 0.0000
0.2500 0.7500 0.5000
0.7500 0.2500 0.5000
0.8552 0.8552 0.0000
0.3800 0.3800 0.0000
0.6200 0.6200 0.0000
```

Calculated values
**Formation enthalpy at 0 K**: -0.07 eV/atom
**SG**: I4/mmm
**Total magnetization**: 0.000 μB per cell
**ρ**: 10.727 Mg/m³
**N(E_F)**: 3.17 states/eV/f.u.

(11)
## TaBiSe2 (PBE)

Data for an optimized crystal structure of TaBiSe2.

Geometry as POSCAR:
```
TaBiSe2
1.0
3.4689 0.0000 0.0000
0.0061 6.0171 0.0000
1.7219 0.7667 9.6019
Ta Bi Se
2 2 4
direct
0.0000 0.0000 0.0000
0.5000 0.5000 0.0000
0.1781 0.7501 0.5000
0.8219 0.2499 0.5000
0.0859 0.6898 0.8249
0.4124 0.8102 0.1752
0.5876 0.1898 0.8248
0.9141 0.3102 0.1751
```

Calculated values
**SG**: P-1
**Total magnetization**: 0.000 μB per cell
**E_form (uncorrected)**: -0.5090 eV per atom
**ρ**: 9.078 Mg/m³
**N(E_F)**: 1.44 states/eV/f.u.

(12)
## Sb4SeCl (PBE)

Data for an optimized crystal structure of Sb4SeCl.

Geometry as POSCAR:
```
Sb4SeCl
1.0
0.0000 4.3526 4.3526
4.3526 0.0000 4.3526
4.3526 4.3526 0.0000
Sb Se Cl
4 1 1
direct
0.3782 0.3782 0.3782
0.3782 0.3782 0.8653
0.3782 0.8653 0.3782
0.8653 0.3782 0.3782
0.0000 0.0000 0.0000
0.7500 0.7500 0.7500
```

Calculated values
**SG**: F-43m
**Total magnetization**: 0.000 μB per cell
**E_form (uncorrected)**: 0.2763 eV per atom
**ρ**: 6.056 Mg/m³
**N(E_F)**: 3.07 states/eV/f.u.

Question: Which of these has the lowest N(E_F)?
Answer: TaBiSe2